CuNi3Mo after structural relaxation, computed with PBE-GGA.

Cell: 8.4480 11.7755 2.5366 Å, 90.00 90.00 90.00°
Last column: nearest neighbours and their distance in Å.
Space group C222_1 (No. 20)
Inequivalent atoms, fractional coordinates:
Cu 0.1294 0.0000 0.0000 (multiplicity 4)  2 Ni 2.35, 4 Cu 2.53-2.54
Ni 0.0000 0.4101 0.2500 (multiplicity 4)  8 Ni 2.41-2.61, 2 Mo 2.68
Ni 0.2364 0.3398 0.8291 (multiplicity 8)  1 Cu 2.35, 6 Ni 2.41-2.61, 2 Mo 2.53-2.54
Mo 0.0000 0.2097 0.7500 (multiplicity 4)  8 Ni 2.53-2.73, 2 Mo 2.54, 2 Cu 2.77

Calculated values
* ΔE_f: 0.185 eV/atom
* E_tot: -125.38 eV/cell
* spin magnetization: 0.00 μB per formula unit
* energy above the lowest structure with this stoichiometry: 0.0 meV per atom